## Zr2Mo (PBE)

Data for Zr2Mo after structural relaxation.

Cell and atoms, written as extended XYZ:
```
3
Lattice="3.265 0.000 0.000 -1.632 2.827 0.000 0.000 0.000 6.740" Properties=species:S:1:pos:R:3 pbc="T T T"
Mo 0.000 0.000 0.000
Zr 0.000 1.885 2.054
Zr 1.632 0.942 4.686
```

Summary:
* SG: P-3m1, No. 164
* DFT formation energy: 0.196 eV/atom
* distance to the lowest polymorph of the same formula: 0.197 eV per atom

***

## LiZnRu2 (PBE)

Data for LiZnRu2 after structural relaxation.

Cell and atoms, written as extended XYZ:
```
4
Lattice="4.148 0.000 0.000 0.000 3.630 0.000 0.000 0.000 3.630" Properties=species:S:1:pos:R:3 pbc="T T T"
Ru 0.000 1.815 1.815
Li 2.074 0.000 1.815
Ru 0.000 0.000 0.000
Zn 2.074 1.815 0.000
```

Summary:
* SG: P4/mmm, No. 123
* DFT formation energy: 0.179 eV/atom

***

| no. | total DFT energy (no corrections) (eV per atom) |
| --- | --- |
| 1 | -9.1129 |
| 2 | -5.2558 |